P) Entry from the Alexandria database: LiScSi2 after structural relaxation (PBE).

crystal system: monoclinic
space-group type: C2/m (12)
spin magnetization: 0.0 μB per formula unit
density: 2.70 g cm⁻³

Lattice parameters (Å, degrees): 4.480 4.480 4.707 70.06 70.06 49.40
Atoms (fractional coordinates):
Li1 0.750 0.750 0.750
Sc1 0.250 0.250 0.250
Si1 0.009 0.009 0.911
Si2 0.491 0.491 0.589

---

Q) Entry from the Alexandria database: LiScSi2 after structural relaxation (PBE).

crystal system: tetragonal
space-group type: P4mm (99)
spin magnetization: 0.0 μB per formula unit
density: 2.73 g cm⁻³

Lattice parameters (Å, degrees): 3.429 3.429 5.584 90.00 90.00 90.00
Atoms (fractional coordinates):
Li1 0.000 0.000 0.467
Sc1 0.500 0.500 0.763
Si1 0.000 0.000 0.021
Si2 0.500 0.500 0.250

---

Which of them is the least stable? Correct choice: Q).